Version one
Ti3Ni2Ir | PBE-GGA | optimized geometry

Results
- Crystal system: orthorhombic
- Fermi-level density of states: 6.4 states/eV/cell
- Total moment: 0.0 μB/f.u.

Cell lengths 6.973, 6.973, 2.952 Å; angles 90.00, 90.00, 143.71 degrees
Fractional positions:
Ti (0.000, 0.000, 0.000)
Ti (0.325, 0.675, 0.000)
Ti (0.675, 0.325, 0.000)
Ni (0.152, 0.848, 0.500)
Ni (0.848, 0.152, 0.500)
Ir (0.500, 0.500, 0.500)

***

Version two
Ti3Ni2Ir | PBE-GGA | optimized geometry

Results
- Crystal system: tetragonal
- Fermi-level density of states: 9.3 states/eV/cell
- Total moment: 0.0 μB/f.u.

Cell lengths 2.950, 2.950, 9.750 Å; angles 90.00, 90.00, 90.00 degrees
Fractional positions:
Ti (0.000, 0.000, 0.000)
Ti (0.000, 0.000, 0.324)
Ti (0.000, 0.000, 0.676)
Ni (0.500, 0.500, 0.156)
Ni (0.500, 0.500, 0.844)
Ir (0.500, 0.500, 0.500)

***

Relative calculated energies, zero for the most stable structure, unit meV/atom: version one 0; version two 36.

***

Version one
Ti4NiIr | PBE-GGA | optimized geometry

Results
- Crystal system: tetragonal
- Fermi-level density of states: 8.0 states/eV/cell
- Total moment: 0.0 μB/f.u.

Cell lengths 4.217, 4.217, 5.956 Å; angles 90.00, 90.00, 90.00 degrees
Fractional positions:
Ti (0.000, 0.500, 0.245)
Ti (0.000, 0.500, 0.755)
Ti (0.500, 0.000, 0.245)
Ti (0.500, 0.000, 0.755)
Ni (0.000, 0.000, 0.000)
Ir (0.500, 0.500, 0.500)

***

Version two
Ti4NiIr | PBE-GGA | optimized geometry

Results
- Crystal system: tetragonal
- Fermi-level density of states: 4.4 states/eV/cell
- Total moment: 0.0 μB/f.u.

Cell lengths 3.053, 3.053, 9.728 Å; angles 90.00, 90.00, 90.00 degrees
Fractional positions:
Ti (0.000, 0.000, 0.155)
Ti (0.000, 0.000, 0.845)
Ti (0.500, 0.500, 0.335)
Ti (0.500, 0.500, 0.665)
Ni (0.500, 0.500, 0.000)
Ir (0.000, 0.000, 0.500)

***

Relative calculated energies, zero for the most stable structure, unit meV/atom: version one 292; version two 0.

***

Version one
TiZnNiIr | PBE-GGA | optimized geometry

Results
- Crystal system: tetragonal
- Fermi-level density of states: 1.6 states/eV/cell
- Total moment: 0.0 μB/f.u.

Cell lengths 4.457, 4.457, 4.457 Å; angles 126.99, 126.99, 78.27 degrees
Fractional positions:
Ti (0.000, 0.000, 0.000)
Zn (0.500, 0.500, 0.000)
Ni (0.250, 0.750, 0.500)
Ir (0.750, 0.250, 0.500)

***

Version two
TiZnNiIr | PBE-GGA | optimized geometry

Results
- Crystal system: cubic
- Fermi-level density of states: 3.3 states/eV/cell
- Total moment: 0.0 μB/f.u.

Cell lengths 4.270, 4.270, 4.270 Å; angles 60.00, 60.00, 60.00 degrees
Fractional positions:
Ti (0.000, 0.000, 0.000)
Zn (0.500, 0.500, 0.500)
Ni (0.750, 0.750, 0.750)
Ir (0.250, 0.250, 0.250)

***

Relative calculated energies, zero for the most stable structure, unit meV/atom: version one 0; version two 27.